4
Lattice="5.085 0.000 0.000 2.543 4.404 0.000 2.543 1.468 4.152" Properties=species:S:1:pos:R:3 comment="LiNdErGe PBE optimized geometry" e_tot_ev_per_atom=-4.3696 dos_at_fermi_per_ev_cell=2.2 spacegroup=F-43m e_form_ev_per_atom=-0.4042 pbc="T T T"
Ge 2.543 1.468 1.038
Li 7.628 4.404 3.114
Nd 5.085 2.936 2.076
Er 0.000 0.000 0.000